A relaxed structure of LaTmCoRu. Source: Alexandria via LeMat-Bulk, functional GGA-PBE.

Properties
space-group type	F-43m
total magnetization	0.01	μB per cell
E_form	-138	meV per atom
V	80.6	Å³/cell
DOS at the Fermi energy	0.8383	states/eV per atom

Cell lengths 4.8491, 4.8491, 4.8491 Å; angles 60.00, 60.00, 60.00 degrees
Element x y z (fractional)
La (0.0000, 0.0000, 0.0000)
Tm (0.5000, 0.5000, 0.5000)
Co (0.2500, 0.2500, 0.2500)
Ru (0.7500, 0.7500, 0.7500)

A relaxed structure of LaCoS. Source: Alexandria via LeMat-Bulk, functional GGA-PBE.

Properties
space-group type	Cm
total magnetization	0.00	μB per cell
formation energy (no corrections)	-1099	meV per atom
V	54.7	Å³/cell
DOS at the Fermi energy	0.5405	states/eV per atom

Cell lengths 3.9856, 3.9856, 3.9680 Å; angles 90.00, 90.00, 60.30 degrees
Element x y z (fractional)
La (0.0000, 0.0000, 0.0000)
Co (0.6693, 0.6693, 0.4943)
S (0.3341, 0.3341, 0.5009)

A relaxed structure of LaCo3S. Source: Alexandria via LeMat-Bulk, functional GGA-PBE.

Properties
space-group type	Pm-3m
total magnetization	2.56	μB per cell
energy above the lowest structure with this stoichiometry	1805	meV/atom
formation energy (no corrections)	1646	meV per atom
V	99.0	Å³/cell
DOS at the Fermi energy	1.5623	states/eV per atom

Cell lengths 4.6256, 4.6256, 4.6256 Å; angles 90.00, 90.00, 90.00 degrees
Element x y z (fractional)
La (0.0000, 0.0000, 0.0000)
Co (0.0000, 0.0000, 0.5000)
Co (0.0000, 0.5000, 0.0000)
Co (0.5000, 0.0000, 0.0000)
S (0.5000, 0.5000, 0.5000)

A relaxed structure of LaCoS. Source: Alexandria via LeMat-Bulk, functional GGA-PBE.

Properties
space-group type	P1
total magnetization	0.00	μB per cell
formation energy (no corrections)	-978	meV per atom
V	62.1	Å³/cell
DOS at the Fermi energy	0.1880	states/eV per atom

Cell lengths 4.0181, 4.2606, 4.2819 Å; angles 88.04, 67.00, 68.16 degrees
Element x y z (fractional)
La (0.0000, 0.0000, 0.0000)
Co (0.4772, 0.4377, 0.4338)
S (0.8723, 0.5659, 0.5664)

A relaxed structure of LaCo3S. Source: Alexandria via LeMat-Bulk, functional GGA-PBE.

Properties
space-group type	Pm-3m
total magnetization	2.10	μB per cell
energy above the lowest structure with this stoichiometry	0	meV/atom
formation energy (no corrections)	-159	meV per atom
V	78.9	Å³/cell
DOS at the Fermi energy	0.5414	states/eV per atom

Cell lengths 4.2894, 4.2894, 4.2894 Å; angles 90.00, 90.00, 90.00 degrees
Element x y z (fractional)
La (0.0000, 0.0000, 0.0000)
Co (0.0000, 0.5000, 0.5000)
Co (0.5000, 0.0000, 0.5000)
Co (0.5000, 0.5000, 0.0000)
S (0.5000, 0.5000, 0.5000)

A relaxed structure of LaCoS. Source: Alexandria via LeMat-Bulk, functional GGA-PBE.

Properties
space-group type	R3m
total magnetization	0.00	μB per cell
formation energy (no corrections)	-945	meV per atom
V	57.9	Å³/cell
DOS at the Fermi energy	0.2336	states/eV per atom

Cell lengths 4.7687, 4.7687, 4.7687 Å; angles 49.63, 49.63, 49.63 degrees
Element x y z (fractional)
La (0.0000, 0.0000, 0.0000)
Co (0.2066, 0.2066, 0.2066)
S (0.5119, 0.5119, 0.5119)

Question: Among the records above, which one has the lowest V?
Answer: number 2